This record from the Alexandria database describes crystalline Ca6Au2S at its relaxed geometry. The functional is PBE.

Structure (POSCAR):
```
Ca6Au2S
1.0
-2.517 -6.358 -1.163
5.674 -3.046 4.371
-6.071 0.509 8.237
Au Ca S
4 12 2
Cartesian
-1.274 -1.767 8.888
-4.997 -2.847 6.039
-1.640 -7.129 2.556
2.083 -6.049 5.405
-4.307 -1.575 8.907
-1.850 -4.156 10.854
-2.060 -1.725 5.891
-1.635 -0.933 2.063
0.662 -3.774 4.031
0.392 -4.304 7.835
-0.854 -7.171 5.553
-3.576 -5.122 7.413
1.393 -7.321 2.537
-3.306 -4.592 3.609
-1.064 -4.740 0.590
-1.279 -7.963 9.381
1.579 -4.702 1.604
-3.036 0.254 4.118
```

Values from the calculation:
* magnetic moment: 0.0 μB/cell
* VASP energy: -60.4 eV per cell
* formation energy (no corrections): -0.834 eV/atom